[1]
Compound: TiP2SO
Source: Alexandria
Functional: GGA-PBE
Structure: optimized geometry

abc: 4.5557 4.5557 3.4837
angles: 90.00 90.00 90.00
With the nearest neighbours (Å) after each atom.
Element x y z (fractional)
P 0.0000 0.5000 0.0000  2 S 2.28
O 0.0000 0.0000 0.5000  2 S 1.74
Ti 0.5000 0.5000 0.5000  8 P 2.87
S 0.0000 0.0000 0.0000  2 O 1.74
P 0.5000 0.0000 0.0000  2 S 2.28

Computed properties:
- DOS(E_F) (states/eV/cell) = 2.59
- energy above the most stable polymorph in this dataset (eV/atom) = 0.387
- formation energy without anion corrections (eV/atom) = 0.170
- E_tot (eV per atom) = -5.3898
- total magnetization (μB per atom) = 0.000

=====

[2]
Compound: TiPS2O
Source: Alexandria
Functional: GGA-PBE
Structure: optimized geometry

abc: 4.2754 4.2754 3.9507
angles: 90.00 90.00 90.00
With the nearest neighbours (Å) after each atom.
Element x y z (fractional)
O 0.0000 0.0000 0.0000  2 P 1.98, 4 S 2.14
S 0.0000 0.5000 0.0000  2 O 2.14
S 0.5000 0.0000 0.0000  2 O 2.14
Ti 0.5000 0.5000 0.5000  8 S 2.91, 4 P 3.02
P 0.0000 0.0000 0.5000  2 O 1.98

Computed properties:
- DOS(E_F) (states/eV/cell) = 5.64
- energy above the most stable polymorph in this dataset (eV/atom) = 0.000
- formation energy without anion corrections (eV/atom) = 0.247
- E_tot (eV per atom) = -5.0564
- total magnetization (μB per atom) = 0.000

=====

[3]
Compound: TiP2SO
Source: Alexandria
Functional: GGA-PBE
Structure: optimized geometry

abc: 4.6993 4.6993 4.4659
angles: 90.00 90.00 90.00
With the nearest neighbours (Å) after each atom.
Element x y z (fractional)
P 0.0000 0.5000 0.0000  2 Ti 2.35
O 0.5000 0.5000 0.5000  8 P 3.24, 4 S 3.32
S 0.0000 0.0000 0.5000  2 Ti 2.23
Ti 0.0000 0.0000 0.0000  2 S 2.23, 4 P 2.35
P 0.5000 0.0000 0.0000  2 Ti 2.35

Computed properties:
- DOS(E_F) (states/eV/cell) = 7.16
- energy above the most stable polymorph in this dataset (eV/atom) = 0.854
- formation energy without anion corrections (eV/atom) = 0.638
- E_tot (eV per atom) = -4.9222
- total magnetization (μB per atom) = 0.000